# Sc2MoPbO8

A relaxed Sc2MoPbO8 crystal (PBE+U, Alexandria).

a = 4.824 Å, b = 4.824 Å, c = 6.569 Å
α = 90.00°, β = 90.00°, γ = 92.10°
Atoms (fractional coordinates):
1 Sc 0.000 0.000 0.242
2 Sc 0.000 0.000 0.758
3 Mo 0.500 0.500 0.000
4 Pb 0.500 0.500 0.500
5 O 0.190 0.190 0.500
6 O 0.208 0.208 0.000
7 O 0.308 0.692 0.217
8 O 0.308 0.692 0.783
9 O 0.692 0.308 0.217
10 O 0.692 0.308 0.783
11 O 0.792 0.792 0.000
12 O 0.810 0.810 0.500

Results
symmetry: Cmmm
V: 152.8 Å³ per cell
crystal system: orthorhombic
electronic total energy: -7.431 eV per atom